# 1
Entry from Alexandria: a relaxed BAsPS2 crystal (PBE).

a b c (Å): 4.773 4.773 4.727
angles (deg): 90.00 90.00 90.00
Fractional coordinates of all 5 atoms:
B: 0.000 0.000 0.000
As: 0.500 0.500 0.500
P: 0.500 0.500 0.000
S: 0.000 0.500 0.500
S: 0.500 0.000 0.500

Summary:
Uncorrected formation energy: 1.5930 eV/atom
Polymorph energy (0 for the lowest one): 819 meV/atom

=====

# 2
Entry from Alexandria: a relaxed LiMg2HgO crystal (PBE).

a b c (Å): 4.271 4.271 4.205
angles (deg): 90.00 90.00 90.00
Fractional coordinates of all 5 atoms:
Li: 0.000 0.000 0.000
Mg: 0.000 0.500 0.500
Mg: 0.500 0.000 0.500
Hg: 0.500 0.500 0.000
O: 0.000 0.000 0.500

Summary:
Uncorrected formation energy: -1.0965 eV/atom

=====

# 3
Entry from Alexandria: a relaxed CdAsO2F crystal (PBE).

a b c (Å): 4.050 4.050 4.125
angles (deg): 90.00 90.00 90.00
Fractional coordinates of all 5 atoms:
Cd: 0.000 0.000 0.000
As: 0.500 0.500 0.500
O: 0.000 0.500 0.500
O: 0.500 0.000 0.500
F: 0.500 0.500 0.000

Summary:
Uncorrected formation energy: -0.9073 eV/atom

=====

# 4
Entry from Alexandria: a relaxed Ba8Sr2Tl crystal (PBE).

a b c (Å): 11.812 11.812 8.387
angles (deg): 93.55 93.55 32.26
Fractional coordinates of all 11 atoms:
Ba: 0.030 0.030 0.271
Ba: 0.162 0.162 0.676
Ba: 0.349 0.349 0.603
Ba: 0.414 0.414 0.105
Ba: 0.586 0.586 0.895
Ba: 0.651 0.651 0.397
Ba: 0.838 0.838 0.324
Ba: 0.970 0.970 0.729
Sr: 0.222 0.222 0.153
Sr: 0.778 0.778 0.847
Tl: 0.500 0.500 0.500

Summary:
Energy relative to the elements: -0.036 eV/atom
Polymorph energy (0 for the lowest one): 6 meV/atom

=====

# 5
Entry from Alexandria: a relaxed GaRh2O6 crystal (PBE).

a b c (Å): 4.549 4.549 9.306
angles (deg): 90.00 90.00 90.00
Fractional coordinates of all 18 atoms:
Ga: 0.000 0.000 0.000
Ga: 0.500 0.500 0.500
Rh: 0.000 0.000 0.332
Rh: 0.000 0.000 0.668
Rh: 0.500 0.500 0.168
Rh: 0.500 0.500 0.832
O: 0.193 0.193 0.500
O: 0.194 0.194 0.166
O: 0.194 0.194 0.834
O: 0.306 0.694 0.334
O: 0.306 0.694 0.666
O: 0.307 0.693 0.000
O: 0.693 0.307 0.000
O: 0.694 0.306 0.334
O: 0.694 0.306 0.666
O: 0.806 0.806 0.166
O: 0.806 0.806 0.834
O: 0.807 0.807 0.500

Summary:
Uncorrected formation energy: -0.9729 eV/atom

=====

# 6
Entry from Alexandria: a relaxed TiAlNi2 crystal (PBE).

a b c (Å): 4.200 4.200 2.927
angles (deg): 90.00 90.00 90.00
Fractional coordinates of all 4 atoms:
Ti: 0.000 0.000 0.000
Al: 0.500 0.500 0.000
Ni: 0.000 0.500 0.500
Ni: 0.500 0.000 0.500

Summary:
Energy relative to the elements: -0.502 eV/atom

=====

# 7
Entry from Alexandria: a relaxed MgMoIr2 crystal (PBE).

a b c (Å): 4.933 4.933 4.733
angles (deg): 100.36 100.36 33.03
Fractional coordinates of all 4 atoms:
Mg: 0.000 0.000 0.000
Mo: 0.224 0.224 0.668
Ir: 0.480 0.480 0.495
Ir: 0.752 0.752 0.172

Summary:
Energy relative to the elements: -0.201 eV/atom